1.
PmCdCu2 | the Alexandria database | GGA-PBEsol | relaxed; symmetry = No. 225; formation enthalpy at 0 K = -16.1 kJ/mol of atoms; crystal system = cubic
1.0
0.000 3.311 3.311
3.311 0.000 3.311
3.311 3.311 0.000
Pm Cd Cu
1 1 2
direct
0.000 0.000 0.000 Pm
0.500 0.500 0.500 Cd
0.250 0.250 0.250 Cu
0.750 0.750 0.750 Cu

=====

2.
Ba2ScNi | the Alexandria database | GGA-PBEsol | relaxed; symmetry = No. 119; energy above the most stable polymorph in this dataset = 0.00 eV per formula unit; formation enthalpy at 0 K = 55.4 kJ/mol of atoms; crystal system = tetragonal
1.0
-2.290 2.290 5.590
2.290 -2.290 5.590
2.290 2.290 -5.590
Ba Sc Ni
2 1 1
direct
0.000 0.000 0.000 Ba
0.750 0.250 0.500 Ba
0.250 0.750 0.500 Sc
0.500 0.500 0.000 Ni

=====

3.
Fe2RePt | the Alexandria database | GGA-PBEsol | relaxed; symmetry = No. 216; formation enthalpy at 0 K = 25.0 kJ/mol of atoms; crystal system = cubic
1.0
0.000 2.982 2.982
2.982 0.000 2.982
2.982 2.982 0.000
Fe Re Pt
2 1 1
direct
0.000 0.000 0.000 Fe
0.250 0.250 0.250 Fe
0.500 0.500 0.500 Re
0.750 0.750 0.750 Pt

=====

4.
AlInTc3 | the Alexandria database | GGA-PBEsol | relaxed; symmetry = No. 221; formation enthalpy at 0 K = 227.6 kJ/mol of atoms; crystal system = cubic
1.0
4.773 0.000 0.000
0.000 4.773 0.000
0.000 0.000 4.773
Al In Tc
1 1 3
direct
0.000 0.000 0.000 Al
0.500 0.500 0.500 In
0.000 0.500 0.500 Tc
0.500 0.000 0.500 Tc
0.500 0.500 0.000 Tc

=====

5.
ZrFe4Si2 | the Alexandria database | GGA-PBEsol | relaxed; symmetry = No. 136; uncorrected formation energy = -0.58 eV per atom; crystal system = tetragonal
1.0
6.837 0.000 0.000
0.000 6.837 0.000
0.000 0.000 3.656
Zr Fe Si
2 8 4
direct
0.000 0.000 0.000 Zr
0.500 0.500 0.500 Zr
0.086 0.353 0.500 Fe
0.147 0.586 0.000 Fe
0.353 0.086 0.500 Fe
0.414 0.853 0.000 Fe
0.586 0.147 0.000 Fe
0.647 0.914 0.500 Fe
0.853 0.414 0.000 Fe
0.914 0.647 0.500 Fe
0.218 0.782 0.500 Si
0.282 0.282 0.000 Si
0.718 0.718 0.000 Si
0.782 0.218 0.500 Si

=====

6.
NiAu2 | the Alexandria database | GGA-PBEsol | relaxed; symmetry = No. 139; formation enthalpy at 0 K = 5.1 kJ/mol of atoms; crystal system = tetragonal
1.0
-1.417 1.417 5.509
1.417 -1.417 5.509
1.417 1.417 -5.509
Ni Au
1 2
direct
0.000 0.000 0.000 Ni
0.346 0.346 0.000 Au
0.654 0.654 0.000 Au

=====

7.
Ca4Ta2O9 | the Alexandria database | GGA-PBEsol | relaxed; symmetry = No. 14; energy above the most stable polymorph in this dataset = 0.00 eV per formula unit; uncorrected formation energy = -3.10 eV per atom; crystal system = monoclinic
1.0
9.783 0.000 0.000
0.000 5.502 0.000
-9.524 0.000 14.092
Ca Ta O
16 8 36
direct
0.000 0.000 0.000 Ca
0.000 0.500 0.500 Ca
0.047 0.021 0.395 Ca
0.047 0.479 0.895 Ca
0.286 0.503 0.771 Ca
0.286 0.997 0.271 Ca
0.377 0.019 0.072 Ca
0.377 0.481 0.572 Ca
0.500 0.000 0.500 Ca
0.500 0.500 0.000 Ca
0.623 0.519 0.428 Ca
0.623 0.981 0.928 Ca
0.714 0.003 0.729 Ca
0.714 0.497 0.229 Ca
0.953 0.521 0.105 Ca
0.953 0.979 0.605 Ca
0.174 0.509 0.336 Ta
0.174 0.991 0.836 Ta
0.332 0.510 0.165 Ta
0.332 0.990 0.665 Ta
0.668 0.010 0.335 Ta
0.668 0.490 0.835 Ta
0.826 0.009 0.164 Ta
0.826 0.491 0.664 Ta
0.046 0.698 0.750 O
0.046 0.802 0.250 O
0.124 0.618 0.425 O
0.124 0.882 0.925 O
0.173 0.171 0.552 O
0.173 0.329 0.052 O
0.197 0.703 0.630 O
0.197 0.797 0.130 O
0.223 0.093 0.735 O
0.223 0.407 0.235 O
0.264 0.210 0.404 O
0.264 0.290 0.904 O
0.379 0.680 0.398 O
0.379 0.820 0.898 O
0.444 0.620 0.107 O
0.444 0.880 0.607 O
0.480 0.208 0.218 O
0.480 0.292 0.718 O
0.520 0.708 0.282 O
0.520 0.792 0.782 O
0.556 0.120 0.393 O
0.556 0.380 0.893 O
0.621 0.180 0.102 O
0.621 0.320 0.602 O
0.736 0.710 0.096 O
0.736 0.790 0.596 O
0.777 0.593 0.765 O
0.777 0.907 0.265 O
0.803 0.203 0.870 O
0.803 0.297 0.370 O
0.827 0.671 0.948 O
0.827 0.829 0.448 O
0.876 0.118 0.075 O
0.876 0.382 0.575 O
0.954 0.198 0.750 O
0.954 0.302 0.250 O

=====

8.
Na2ZnNiPb | the Alexandria database | GGA-PBEsol | relaxed; symmetry = No. 123; formation enthalpy at 0 K = 44.5 kJ/mol of atoms; crystal system = tetragonal
1.0
5.160 0.000 0.000
0.000 5.160 0.000
0.000 0.000 4.467
Na Zn Ni Pb
2 1 1 1
direct
0.000 0.500 0.000 Na
0.500 0.000 0.000 Na
0.000 0.000 0.000 Zn
0.000 0.000 0.500 Ni
0.500 0.500 0.500 Pb

=====

9.
Zn3SiBi | the Alexandria database | GGA-PBEsol | relaxed; symmetry = No. 221; uncorrected formation energy = 0.42 eV per atom; crystal system = cubic
1.0
4.719 0.000 0.000
0.000 4.719 0.000
0.000 0.000 4.719
Zn Si Bi
3 1 1
direct
0.000 0.000 0.500 Zn
0.000 0.500 0.000 Zn
0.500 0.000 0.000 Zn
0.000 0.000 0.000 Si
0.500 0.500 0.500 Bi

=====

10.
CaFe2Pb | the Alexandria database | GGA-PBEsol | relaxed; symmetry = No. 216; formation enthalpy at 0 K = 46.3 kJ/mol of atoms; crystal system = cubic
1.0
0.000 3.308 3.308
3.308 0.000 3.308
3.308 3.308 0.000
Ca Fe Pb
1 2 1
direct
0.000 0.000 0.000 Ca
0.500 0.500 0.500 Fe
0.750 0.750 0.750 Fe
0.250 0.250 0.250 Pb

=====

11.
FeMo2Cl | the Alexandria database | GGA-PBEsol | relaxed; symmetry = No. 6; energy above the most stable polymorph in this dataset = 0.00 eV per formula unit; uncorrected formation energy = 0.31 eV per atom; crystal system = monoclinic
1.0
3.095 0.000 0.000
0.000 3.001 0.000
-0.002 0.000 6.861
Fe Mo Cl
1 2 1
direct
0.000 0.000 0.000 Fe
0.001 0.000 0.581 Mo
0.499 0.500 0.796 Mo
0.007 0.500 0.280 Cl

=====

12.
Li2ZrPt2 | the Alexandria database | GGA-PBEsol | relaxed; symmetry = No. 139; formation enthalpy at 0 K = -59.7 kJ/mol of atoms; crystal system = tetragonal
1.0
-1.720 1.720 6.779
1.720 -1.720 6.779
1.720 1.720 -6.779
Li Zr Pt
2 1 2
direct
0.250 0.750 0.500 Li
0.750 0.250 0.500 Li
0.000 0.000 0.000 Zr
0.399 0.399 0.000 Pt
0.601 0.601 0.000 Pt

=====

13.
Tl2Se | the Alexandria database | GGA-PBEsol | relaxed; symmetry = No. 12; energy above the most stable polymorph in this dataset = 0.12 eV per formula unit; uncorrected formation energy = -0.27 eV per atom; crystal system = monoclinic
1.0
6.311 -1.877 0.000
6.311 1.877 0.000
-2.213 0.000 7.127
Tl Se
4 2
direct
0.140 0.140 0.064 Tl
0.140 0.140 0.577 Tl
0.860 0.860 0.423 Tl
0.860 0.860 0.936 Tl
0.488 0.488 0.744 Se
0.512 0.512 0.256 Se

=====

14.
KIn2Pd2 | the Alexandria database | GGA-PBEsol | relaxed; symmetry = No. 127; energy above the most stable polymorph in this dataset = 0.00 eV per formula unit; formation enthalpy at 0 K = -33.2 kJ/mol of atoms; crystal system = tetragonal
1.0
8.290 0.000 0.000
0.000 8.290 0.000
0.000 0.000 2.929
K In Pd
2 4 4
direct
0.000 0.000 0.000 K
0.500 0.500 0.000 K
0.128 0.372 0.000 In
0.372 0.872 0.000 In
0.628 0.128 0.000 In
0.872 0.628 0.000 In
0.168 0.668 0.500 Pd
0.332 0.168 0.500 Pd
0.668 0.832 0.500 Pd
0.832 0.332 0.500 Pd

=====

15.
LiBiP2O7 | the Alexandria database | GGA-PBEsol | relaxed; symmetry = No. 5; energy above the most stable polymorph in this dataset = 0.32 eV per formula unit; uncorrected formation energy = -2.08 eV per atom; crystal system = monoclinic
1.0
3.324 -4.414 0.000
3.324 4.414 0.000
-0.731 0.000 4.560
Li Bi P O
1 1 2 7
direct
0.000 0.000 0.000 Li
0.619 0.381 0.000 Bi
0.098 0.458 0.583 P
0.542 0.902 0.417 P
0.196 0.280 0.764 O
0.355 0.645 0.500 O
0.387 0.045 0.245 O
0.678 0.049 0.714 O
0.720 0.804 0.236 O
0.951 0.322 0.286 O
0.955 0.613 0.755 O

=====

16.
Co2MoAs | the Alexandria database | GGA-PBEsol | relaxed; symmetry = No. 139; formation enthalpy at 0 K = 3.5 kJ/mol of atoms; crystal system = tetragonal
1.0
-1.817 1.817 3.700
1.817 -1.817 3.700
1.817 1.817 -3.700
Co Mo As
2 1 1
direct
0.250 0.750 0.500 Co
0.750 0.250 0.500 Co
0.000 0.000 0.000 Mo
0.500 0.500 0.000 As

=====

17.
AlSN2O | the Alexandria database | GGA-PBEsol | relaxed; symmetry = No. 123; uncorrected formation energy = 0.67 eV per atom; crystal system = tetragonal
1.0
3.852 0.000 0.000
0.000 3.852 0.000
0.000 0.000 3.500
Al S N O
1 1 2 1
direct
0.000 0.000 0.000 Al
0.500 0.500 0.500 S
0.000 0.500 0.000 N
0.500 0.000 0.000 N
0.000 0.000 0.500 O

=====

18.
LiNbIr3 | the Alexandria database | GGA-PBEsol | relaxed; symmetry = No. 221; formation enthalpy at 0 K = 138.0 kJ/mol of atoms; crystal system = cubic
1.0
4.748 0.000 0.000
0.000 4.748 0.000
0.000 0.000 4.748
Li Nb Ir
1 1 3
direct
0.000 0.000 0.000 Li
0.500 0.500 0.500 Nb
0.000 0.500 0.500 Ir
0.500 0.000 0.500 Ir
0.500 0.500 0.000 Ir

=====

19.
KMg2Bi2 | the Alexandria database | GGA-PBEsol | relaxed; symmetry = No. 139; formation enthalpy at 0 K = -32.9 kJ/mol of atoms; crystal system = tetragonal
1.0
-2.409 2.409 6.840
2.409 -2.409 6.840
2.409 2.409 -6.840
K Mg Bi
1 2 2
direct
0.000 0.000 0.000 K
0.250 0.750 0.500 Mg
0.750 0.250 0.500 Mg
0.377 0.377 0.000 Bi
0.623 0.623 0.000 Bi

=====

20.
NbTeSN2 | the Alexandria database | GGA-PBEsol | relaxed; symmetry = No. 123; uncorrected formation energy = 1.32 eV per atom; crystal system = tetragonal
1.0
3.951 0.000 0.000
0.000 3.951 0.000
0.000 0.000 4.949
Nb Te S N
1 1 1 2
direct
0.000 0.000 0.000 Nb
0.500 0.500 0.500 Te
0.500 0.500 0.000 S
0.000 0.500 0.500 N
0.500 0.000 0.500 N

=====

21.
Si3MoPt | the Alexandria database | GGA-PBEsol | relaxed; symmetry = No. 221; uncorrected formation energy = 0.88 eV per atom; crystal system = cubic
1.0
4.595 0.000 0.000
0.000 4.595 0.000
0.000 0.000 4.595
Si Mo Pt
3 1 1
direct
0.000 0.000 0.500 Si
0.000 0.500 0.000 Si
0.500 0.000 0.000 Si
0.000 0.000 0.000 Mo
0.500 0.500 0.500 Pt

=====

22.
AlZn2 | the Alexandria database | GGA-PBEsol | relaxed; symmetry = No. 8; formation enthalpy at 0 K = 5.7 kJ/mol of atoms; crystal system = monoclinic
1.0
5.426 -1.351 0.000
5.426 1.351 0.000
-1.717 0.000 6.173
Al Zn
2 4
direct
0.000 0.000 0.000 Al
0.670 0.670 0.339 Al
0.287 0.287 0.070 Zn
0.332 0.332 0.670 Zn
0.621 0.621 0.738 Zn
0.952 0.952 0.409 Zn

=====

23.
NaNbReNi2 | the Alexandria database | GGA-PBEsol | relaxed; symmetry = No. 123; formation enthalpy at 0 K = 177.9 kJ/mol of atoms; crystal system = tetragonal
1.0
4.040 0.000 0.000
0.000 4.040 0.000
0.000 0.000 4.616
Na Nb Re Ni
1 1 1 2
direct
0.000 0.000 0.000 Na
0.500 0.500 0.500 Nb
0.000 0.000 0.500 Re
0.000 0.500 0.000 Ni
0.500 0.000 0.000 Ni

=====

24.
Mg2AlIn | the Alexandria database | GGA-PBEsol | relaxed; symmetry = No. 166; formation enthalpy at 0 K = -1.3 kJ/mol of atoms; crystal system = trigonal
1.0
1.605 0.926 9.512
-1.605 0.926 9.512
0.000 -1.853 9.512
Mg Al In
2 1 1
direct
0.247 0.247 0.247 Mg
0.753 0.753 0.753 Mg
0.500 0.500 0.500 Al
0.000 0.000 0.000 In

=====

25.
BaScP2 | the Alexandria database | GGA-PBEsol | relaxed; symmetry = No. 160; energy above the most stable polymorph in this dataset = 0.20 eV per formula unit; formation enthalpy at 0 K = -91.8 kJ/mol of atoms; crystal system = trigonal
1.0
1.976 1.141 7.280
-1.976 1.141 7.280
0.000 -2.281 7.280
Ba Sc P
1 1 2
direct
0.000 0.000 0.000 Ba
0.828 0.828 0.828 Sc
0.228 0.228 0.228 P
0.432 0.432 0.432 P